First-principles (GGA-PBE) data for an optimized crystal structure of Y2Sc2In, as listed in the Alexandria database.

Its crystal system is tetragonal. The value obtained for the total energy is -0.4221 Ry per atom. The calculation puts the theoretical density at 4584 kg/m3. The formation energy is -0.077 eV/atom.

The space group is P4/mbm (No. 127) and the conventional cell measures 7.7111, 7.7111 and 4.6608 Å, with angles of 90.00, 90.00 and 90.00 degrees. The asymmetric unit holds Y at (0.1573, 0.3427, 0.0000), Sc at (0.1437, 0.6437, 0.5000) and In at (0.0000, 0.0000, 0.5000).


First-principles (GGA-PBE) data for an optimized crystal structure of YScIn2, as listed in the Alexandria database.

Its crystal system is orthorhombic. The value obtained for the total energy is -0.3528 Ry per atom. The calculation puts the theoretical density at 5812 kg/m3. The formation energy is -0.231 eV/atom.

The space group is Pmm2 (No. 25) and the conventional cell measures 3.5621, 4.5822 and 6.3631 Å, with angles of 90.00, 90.00 and 90.00 degrees. The asymmetric unit holds Y at (0.0000, 0.0000, 0.0000), Sc at (0.5000, 0.5000, 0.7192), In at (0.0000, 0.0000, 0.5124) and In at (0.5000, 0.5000, 0.2286).


First-principles (GGA-PBE) data for an optimized crystal structure of Y2ScIn, as listed in the Alexandria database.

Its crystal system is orthorhombic. The value obtained for the total energy is -0.4207 Ry per atom. The calculation puts the theoretical density at 5008 kg/m3. The formation energy is -0.224 eV/atom.

The space group is Amm2 (No. 38) and the conventional cell measures 5.0826, 3.5278 and 12.4847 Å, with angles of 90.00, 90.00 and 90.00 degrees. The asymmetric unit holds Y at (0.0000, 0.0000, 0.0000), Y at (0.5000, 0.0000, 0.3317), Sc at (0.0000, 0.0000, 0.7314) and In at (0.5000, 0.0000, 0.5995).


First-principles (GGA-PBE) data for an optimized crystal structure of YSc2Zn2In2, as listed in the Alexandria database.

Its crystal system is trigonal. The value obtained for the total energy is -0.3046 Ry per atom. The calculation puts the theoretical density at 5667 kg/m3. The formation energy is -0.266 eV/atom.

The space group is R-3m (No. 166, hexagonal axes) and the conventional cell measures 4.6367, 4.6367 and 25.4613 Å, with angles of 90.00, 90.00 and 120.00 degrees. The asymmetric unit holds Y at (0.0000, 0.0000, 0.0000), Sc at (0.0000, 0.0000, 0.1356), Zn at (0.0000, 0.0000, 0.4371) and In at (0.0000, 0.0000, 0.2612).


First-principles (GGA-PBE) data for an optimized crystal structure of Sc2ZnIn, as listed in the Alexandria database.

Its crystal system is cubic. The value obtained for the total energy is -0.3061 Ry per atom. The calculation puts the theoretical density at 5293 kg/m3. The formation energy is 0.004 eV/atom.

The space group is F-43m (No. 216) and the conventional cell measures 6.9728, 6.9728 and 6.9728 Å, with angles of 90.00, 90.00 and 90.00 degrees. The asymmetric unit holds Sc at (0.0000, 0.0000, 0.0000), Sc at (0.2500, 0.2500, 0.2500), Zn at (0.2500, 0.2500, 0.7500) and In at (0.0000, 0.0000, 0.5000).


First-principles (GGA-PBE) data for an optimized crystal structure of Sc3ZnIn2, as listed in the Alexandria database.

Its crystal system is tetragonal. The value obtained for the total energy is -0.3463 Ry per atom. The calculation puts the theoretical density at 5603 kg/m3. The formation energy is -0.421 eV/atom.

The space group is P4/mmm (No. 123) and the conventional cell measures 3.4222, 3.4222 and 10.8784 Å, with angles of 90.00, 90.00 and 90.00 degrees. The asymmetric unit holds Sc at (0.0000, 0.0000, 0.0000), Sc at (0.0000, 0.0000, 0.3532), Zn at (0.5000, 0.5000, 0.5000) and In at (0.5000, 0.5000, 0.1780).


First-principles (GGA-PBE) data for an optimized crystal structure of Sc2Zn3In, as listed in the Alexandria database.

Its crystal system is orthorhombic. The value obtained for the total energy is -0.2615 Ry per atom. The calculation puts the theoretical density at 5870 kg/m3. The formation energy is -0.353 eV/atom.

The space group is Fmmm (No. 69) and the conventional cell measures 6.4807, 8.9961 and 15.5645 Å, with angles of 90.00, 90.00 and 90.00 degrees. The asymmetric unit holds Sc at (0.2452, 0.0000, 0.0000), Sc at (0.2500, 0.2500, 0.2500), Zn at (0.0000, 0.0000, 0.1618), Zn at (0.0000, 0.2425, 0.0805) and In at (0.0000, 0.0000, 0.3341).


First-principles (GGA-PBE) data for an optimized crystal structure of Sc2ZnIn, as listed in the Alexandria database.

Its crystal system is trigonal. The value obtained for the total energy is -0.3236 Ry per atom. The calculation puts the theoretical density at 5041 kg/m3. The formation energy is -0.234 eV/atom.

The space group is R-3m (No. 166, hexagonal axes) and the conventional cell measures 3.3519, 3.3519 and 27.4358 Å, with angles of 90.00, 90.00 and 120.00 degrees. The asymmetric unit holds Sc at (0.0000, 0.0000, 0.2431), Zn at (0.0000, 0.0000, 0.5000) and In at (0.0000, 0.0000, 0.0000).


First-principles (GGA-PBE) data for an optimized crystal structure of Sc2ZnIn, as listed in the Alexandria database.

Its crystal system is trigonal. The value obtained for the total energy is -0.3120 Ry per atom. The calculation puts the theoretical density at 4986 kg/m3. The formation energy is -0.076 eV/atom.

The space group is R3m (No. 160, hexagonal axes) and the conventional cell measures 3.2763, 3.2763 and 29.0338 Å, with angles of 90.00, 90.00 and 120.00 degrees. The asymmetric unit holds Sc at (0.0000, 0.0000, 0.0000), Sc at (0.0000, 0.0000, 0.2447), Zn at (0.0000, 0.0000, 0.5002) and In at (0.0000, 0.0000, 0.7551).


First-principles (GGA-PBE) data for an optimized crystal structure of Sc2ZnIn, as listed in the Alexandria database.

Its crystal system is tetragonal. The value obtained for the total energy is -0.3182 Ry per atom. The calculation puts the theoretical density at 5161 kg/m3. The formation energy is -0.161 eV/atom.

The space group is P4mm (No. 99) and the conventional cell measures 3.6667, 3.6667 and 6.4653 Å, with angles of 90.00, 90.00 and 90.00 degrees. The asymmetric unit holds Sc at (0.0000, 0.0000, 0.0000), Sc at (0.5000, 0.5000, 0.2679), Zn at (0.0000, 0.0000, 0.4869) and In at (0.5000, 0.5000, 0.7425).


First-principles (GGA-PBE) data for an optimized crystal structure of Sc2Zn3In3, as listed in the Alexandria database.

Its crystal system is orthorhombic. The value obtained for the total energy is -0.2484 Ry per atom. The calculation puts the theoretical density at 6624 kg/m3. The formation energy is -0.292 eV/atom.

The space group is Pmmm (No. 47) and the conventional cell measures 4.3009, 4.3084 and 8.5306 Å, with angles of 90.00, 90.00 and 90.00 degrees. The asymmetric unit holds Sc at (0.0000, 0.0000, 0.2443), Zn at (0.5000, 0.0000, 0.0000), Zn at (0.5000, 0.5000, 0.2376), In at (0.0000, 0.5000, 0.0000), In at (0.0000, 0.5000, 0.5000) and In at (0.5000, 0.0000, 0.5000).


First-principles (GGA-PBE) data for an optimized crystal structure of Sc7Zn2In2, as listed in the Alexandria database.

Its crystal system is orthorhombic. The value obtained for the total energy is -0.3511 Ry per atom. The calculation puts the theoretical density at 4177 kg/m3. The formation energy is -0.018 eV/atom.

The space group is Cmmm (No. 65) and the conventional cell measures 7.2785, 10.4045 and 7.0885 Å, with angles of 90.00, 90.00 and 90.00 degrees. The asymmetric unit holds Sc at (0.0000, 0.0000, 0.0000), Sc at (0.0000, 0.5000, 0.2340), Sc at (0.2500, 0.2500, 0.2763), Zn at (0.0000, 0.2832, 0.0000) and In at (0.1901, 0.0000, 0.5000).


Q: Look up the theoretical density of the twelfth one.
A: 4177 kg/m3